# 1
{
  "formula": "ScIn2Te",
  "functional": "GGA-PBE",
  "state": "relaxed",
  "cell": [[6.197, 0.000, 0.000], [0.000, 4.161, 0.000], [0.000, 0.000, 4.161]],
  "species": ["In", "In", "Sc", "Te"],
  "fractional_positions": [[0.000, 0.000, 0.000], [0.000, 0.500, 0.500], [0.500, 0.500, 0.000], [0.500, 0.000, 0.500]]
}


# 2
{
  "formula": "ScInTe",
  "functional": "GGA-PBE",
  "state": "relaxed",
  "cell": [[-0.479, 5.719, 3.017], [-0.781, 3.110, 5.635], [3.397, 0.838, 1.229]],
  "species": ["In", "Sc", "Te"],
  "fractional_positions": [[0.976, 0.976, 0.024], [0.319, 0.319, 0.681], [0.706, 0.706, 0.294]]
}


# 3
{
  "formula": "ScTlInTe3",
  "functional": "GGA-PBE",
  "state": "relaxed",
  "cell": [[-2.757, 1.979, 2.658], [4.328, -3.695, 7.239], [5.212, 9.922, -1.982]],
  "species": ["Sc", "Sc", "Tl", "Tl", "In", "In", "Te", "Te", "Te", "Te", "Te", "Te"],
  "fractional_positions": [[0.250, 0.659, 0.117], [0.750, 0.341, 0.883], [0.250, 0.191, 0.203], [0.750, 0.809, 0.797], [0.250, 0.037, 0.633], [0.750, 0.963, 0.367], [0.750, 0.875, 0.098], [0.250, 0.125, 0.902], [0.250, 0.757, 0.397], [0.750, 0.243, 0.603], [0.750, 0.453, 0.148], [0.250, 0.547, 0.852]]
}


# 4
{
  "formula": "ScTl2InTe4",
  "functional": "GGA-PBE",
  "state": "relaxed",
  "cell": [[7.207, 0.000, 0.000], [3.603, 6.160, 0.000], [3.603, 0.000, 6.160]],
  "species": ["Sc", "Tl", "Tl", "In", "Te", "Te", "Te", "Te"],
  "fractional_positions": [[0.000, 0.000, 0.000], [0.000, 0.500, 0.500], [0.500, 0.500, 0.500], [0.500, 0.000, 0.000], [0.069, 0.356, 0.000], [0.931, 0.000, 0.644], [0.574, 0.000, 0.356], [0.426, 0.644, 0.000]]
}


In order of appearance, energy relative to the elements, uncorrected = -306 -572 -628 -577 meV/atom.